Entry from OQMD: PrTmNO after structural relaxation (PBE-GGA).

Results
**Theoretical density**: 6.835 g/cm³
**Relative energy among the computed polymorphs**: 0.332 eV/atom
**Raw total energy**: -7.446 eV/atom

a b c (Å): 4.4312 4.4312 8.4094
angles (deg): 90.00 90.00 90.00
Last column: nearest neighbours and their distance in Å.
Space group P4/nmm (No. 129, origin choice 2)
Asymmetric unit:
Pr 0.2500 0.2500 0.1112  4 O 2.40
Tm 0.2500 0.7500 0.5000  4 N 2.26
N 0.2500 0.2500 0.5551  4 Tm 2.26
O 0.2500 0.7500 0.0000  4 Pr 2.40

=====

Entry from OQMD: NaTcNO after structural relaxation (PBE-GGA).

Results
**Theoretical density**: 4.282 g/cm³
**Relative energy among the computed polymorphs**: 0.000 eV/atom
**Raw total energy**: -6.885 eV/atom

a b c (Å): 3.4182 5.9755 5.7338
angles (deg): 90.00 90.00 90.00
Last column: nearest neighbours and their distance in Å.
Space group Pmc2_1 (No. 26)
Asymmetric unit:
Na 0.0000 0.1653 0.0000  2 O 2.28-2.35, 2 N 2.41
Tc 0.5000 0.3550 0.4965  2 N 1.85, 2 O 1.99
N 0.5000 0.3882 0.8171  2 Tc 1.85
O 0.0000 0.2056 0.4083  2 Tc 1.99

=====

Entry from OQMD: KAl2Zn2 after structural relaxation (PBE-GGA).

Results
**Theoretical density**: 3.493 g/cm³
**Raw total energy**: -2.173 eV/atom

a b c (Å): 4.2820 4.2820 11.6097
angles (deg): 90.00 90.00 90.00
Last column: nearest neighbours and their distance in Å.
Space group I4/mmm (No. 139)
Asymmetric unit:
K 0.0000 0.0000 0.0000  8 Zn 3.30, 8 Al 3.61
Al 0.0000 0.5000 0.2500  4 Zn 2.67
Zn 0.0000 0.0000 0.3869  1 Zn 2.63, 4 Al 2.67

=====

Entry from OQMD: OsI3O after structural relaxation (PBE-GGA).

Results
**Theoretical density**: 6.651 g/cm³
**Relative energy among the computed polymorphs**: 0.010 eV/atom
**Raw total energy**: -4.388 eV/atom

a b c (Å): 14.4142 3.7189 12.5378
angles (deg): 90.00 119.28 90.00
Last column: nearest neighbours and their distance in Å.
Space group C2/m (No. 12)
Asymmetric unit:
Os 0.1142 0.0000 0.1801  2 O 1.86
I 0.1043 0.0000 0.9554  2 Os 2.75
I 0.1090 0.0000 0.3922  1 Os 2.70
I 0.1708 0.5000 0.7031  1 Os 2.70
O 0.1135 0.5000 0.1784  2 Os 1.86

=====

Which of these has the highest theoretical density?
PrTmNO

=====

theoretical density of number 3 (KAl2Zn2)?
3.493 g/cm³

=====

The lowest raw total energy belongs to which entry?
PrTmNO

=====

What is the formula in the third record?
KAl2Zn2